i:
An optimized crystal structure of LiTeN2Cl, computed with PBE.

Unit cell a=4.1945 b=4.1945 c=5.6492 alpha=90.00 beta=90.00 gamma=90.00
Closest atoms and distances in Å follow each position.
Positions (direct):
N 0.5000 0.0000 0.0000  2 Cl 2.10
N 0.0000 0.5000 0.0000  2 Cl 2.10
Cl 0.0000 0.0000 0.0000  4 N 2.10
Te 0.0000 0.0000 0.5000  2 Cl 2.82, 4 Li 2.97
Li 0.5000 0.5000 0.5000  4 Te 2.97

Results
**Mass density**: 3.31 Mg/m³

ii:
An optimized crystal structure of LiTeN2Cl, computed with PBE.

Unit cell a=4.1623 b=4.1623 c=5.7809 alpha=90.00 beta=90.00 gamma=90.00
Closest atoms and distances in Å follow each position.
Positions (direct):
Te 0.0000 0.0000 0.5000  2 Li 2.89, 4 Cl 2.94
N 0.0000 0.5000 0.0000  2 Li 2.08
N 0.5000 0.0000 0.0000  2 Li 2.08
Li 0.0000 0.0000 0.0000  4 N 2.08
Cl 0.5000 0.5000 0.5000  4 Te 2.94

Results
**Mass density**: 3.28 Mg/m³

Most stable pick: ii. Distance to second place: 204 meV/atom.

i:
An optimized crystal structure of LiTe2NCl, computed with PBE.

Unit cell a=5.2432 b=5.2432 c=3.5788 alpha=90.00 beta=90.00 gamma=90.00
Closest atoms and distances in Å follow each position.
Positions (direct):
Te 0.0000 0.5000 0.0000  2 Li 2.62
Te 0.5000 0.0000 0.0000  2 Li 2.62
Li 0.0000 0.0000 0.0000  2 N 1.79
N 0.0000 0.0000 0.5000  2 Li 1.79
Cl 0.5000 0.5000 0.5000  8 Te 3.17

Results
**Mass density**: 5.26 Mg/m³

ii:
An optimized crystal structure of LiTe2NCl, computed with PBE.

Unit cell a=6.2337 b=6.2337 c=3.2892 alpha=90.00 beta=90.00 gamma=90.00
Closest atoms and distances in Å follow each position.
Positions (direct):
Cl 0.0000 0.0000 0.0000  2 N 1.64
Te 0.5000 0.0000 0.0000  2 Cl 3.12, 2 Te 3.29
Te 0.0000 0.5000 0.0000  2 Cl 3.12, 2 Te 3.29
N 0.0000 0.0000 0.5000  2 Cl 1.64
Li 0.5000 0.5000 0.5000  2 Li 3.29, 8 Te 3.52

Results
**Mass density**: 4.05 Mg/m³

Most stable pick: i. Distance to second place: 84 meV/atom.

i:
An optimized crystal structure of Na3LiCl4, computed with PBE.

Unit cell a=5.5813 b=5.5813 c=5.5813 alpha=90.00 beta=90.00 gamma=90.00
Closest atoms and distances in Å follow each position.
Positions (direct):
Na 0.5000 0.0000 0.5000  6 Cl 2.79
Na 0.5000 0.5000 0.0000  6 Cl 2.79
Na 0.0000 0.5000 0.5000  6 Cl 2.79
Cl 0.0000 0.0000 0.5000  4 Na 2.79, 2 Li 2.79
Cl 0.0000 0.5000 0.0000  4 Na 2.79, 2 Li 2.79
Cl 0.5000 0.5000 0.5000  6 Na 2.79
Cl 0.5000 0.0000 0.0000  4 Na 2.79, 2 Li 2.79
Li 0.0000 0.0000 0.0000  6 Cl 2.79

Results
**Mass density**: 2.08 Mg/m³

ii:
An optimized crystal structure of Na3LiCl4, computed with PBE.

Unit cell a=3.9304 b=6.8198 c=6.8198 alpha=70.66 beta=90.02 gamma=90.02
Closest atoms and distances in Å follow each position.
Positions (direct):
Na 0.4998 0.0001 0.5000  6 Cl 2.86-2.87
Na 0.9999 0.5000 0.5000  6 Cl 2.78-2.79
Na 0.9999 0.0001 0.0001  6 Cl 2.78-2.79
Li 0.5006 0.5003 0.9997  6 Cl 2.70-2.71
Cl 0.9998 0.2638 0.2363  2 Li 2.71, 4 Na 2.78-2.86
Cl 0.4993 0.2578 0.7578  1 Li 2.70, 5 Na 2.78-2.87
Cl 0.5005 0.7423 0.2422  1 Li 2.70, 5 Na 2.78-2.87
Cl 0.9998 0.7364 0.7637  2 Li 2.70-2.71, 4 Na 2.78-2.86

Results
**Mass density**: 2.10 Mg/m³

Most stable pick: ii. Distance to second place: 8 meV/atom.

i:
An optimized crystal structure of NaLi4Cl5, computed with PBE.

Unit cell a=3.7569 b=3.7569 c=13.3572 alpha=98.08 beta=98.08 gamma=90.00
Closest atoms and distances in Å follow each position.
Positions (direct):
Li 0.7981 0.7981 0.5962  6 Cl 2.50-2.66
Li 0.3947 0.3947 0.7894  6 Cl 2.53-2.76
Li 0.6053 0.6053 0.2106  6 Cl 2.53-2.76
Li 0.2019 0.2019 0.4038  6 Cl 2.50-2.66
Cl 0.5000 0.5000 0.0000  4 Na 2.66, 2 Li 2.76
Cl 0.8937 0.8937 0.7875  5 Li 2.50-2.66, 1 Na 2.78
Cl 0.7019 0.7019 0.4038  6 Li 2.52-2.66
Cl 0.2981 0.2981 0.5962  6 Li 2.52-2.66
Cl 0.1063 0.1063 0.2125  5 Li 2.50-2.66, 1 Na 2.78
Na 0.0000 0.0000 0.0000  6 Cl 2.66-2.78

Results
**Mass density**: 2.05 Mg/m³

ii:
An optimized crystal structure of NaLi4Cl5, computed with PBE.

Unit cell a=3.7079 b=6.4502 c=8.3882 alpha=75.23 beta=77.23 gamma=73.30
Closest atoms and distances in Å follow each position.
Positions (direct):
Cl 0.7945 0.1007 0.3104  5 Li 2.54-2.64, 1 Na 2.74
Cl 0.6054 0.6764 0.1128  4 Li 2.53-2.77, 2 Na 2.74
Cl 0.0000 0.5000 0.5000  6 Li 2.58-2.61
Cl 0.3946 0.3236 0.8872  4 Li 2.53-2.77, 2 Na 2.74
Cl 0.2055 0.8993 0.6896  5 Li 2.54-2.64, 1 Na 2.74
Li 0.3996 0.7960 0.4048  6 Cl 2.54-2.64
Li 0.6004 0.2040 0.5952  6 Cl 2.54-2.64
Li 0.1952 0.4003 0.2093  6 Cl 2.53-2.77
Li 0.8048 0.5997 0.7907  6 Cl 2.53-2.77
Na 0.0000 0.0000 0.0000  6 Cl 2.74

Results
**Mass density**: 2.06 Mg/m³

Most stable pick: ii. Distance to second place: 6 meV/atom.